Material: BeCuOs2
Method: DFT, PBE-GGA
State: relaxed Values from VASP.

Output
**DOS at the Fermi energy**: 0.9693 states/eV per atom
**Spin magnetization**: 0.000 μB per formula unit
**Symmetry**: P4/mmm
**E_tot**: -7.2461 eV/atom

Structure (Quantum ESPRESSO input):
```
&SYSTEM
  ibrav = 0, nat = 4, ntyp = 3
/
ATOMIC_SPECIES
Be 9.01 Be.upf
Cu 63.55 Cu.upf
Os 190.23 Os.upf
CELL_PARAMETERS angstrom
4.094 0.000 0.000
0.000 4.094 0.000
0.000 0.000 2.896
ATOMIC_POSITIONS crystal
Be 0.000 0.000 0.000
Cu 0.500 0.500 0.000
Os 0.000 0.500 0.500
Os 0.500 0.000 0.500
```